{
  "formula": "TbSmAlPt",
  "functional": "PBE",
  "state": "optimized geometry",
  "cell": [[5.0993, 0.0000, 0.0000], [2.5497, 4.4161, 0.0000], [2.5497, 1.4720, 4.1636]],
  "species": ["Tb", "Sm", "Pt", "Al"],
  "frac_coords": [[0.5000, 0.5000, 0.5000], [0.0000, 0.0000, 0.0000], [0.7500, 0.7500, 0.7500], [0.2500, 0.2500, 0.2500]],
  "space_group": "No. 216"
}



{
  "formula": "Sm2TiAlPt6",
  "functional": "PBE",
  "state": "optimized geometry",
  "cell": [[-1.0846, -1.2855, 6.5136], [3.8942, -5.1866, -1.3434], [4.1100, 0.0307, 5.3237]],
  "species": ["Sm", "Sm", "Ti", "Al", "Pt", "Pt", "Pt", "Pt", "Pt", "Pt"],
  "frac_coords": [[0.2521, 0.7968, 0.4559], [0.7479, 0.2032, 0.5441], [0.5000, 0.5000, 0.0000], [0.0000, 0.0000, 0.0000], [0.2560, 0.7575, 0.0055], [0.7537, 0.6020, 0.1476], [0.2385, 0.2441, 0.5015], [0.7440, 0.2425, 0.9945], [0.2463, 0.3980, 0.8524], [0.7615, 0.7559, 0.4985]],
  "space_group": "No. 2"
}



{
  "formula": "Sm2TiAl4Pt3",
  "functional": "PBE",
  "state": "optimized geometry",
  "cell": [[4.1876, 0.0000, 0.0000], [0.0000, 4.1876, 0.0000], [0.0000, 0.0000, 11.0199]],
  "species": ["Sm", "Sm", "Ti", "Al", "Al", "Al", "Al", "Pt", "Pt", "Pt"],
  "frac_coords": [[0.5000, 0.0000, 0.2482], [0.0000, 0.5000, 0.7518], [0.5000, 0.5000, 0.5000], [0.5000, 0.5000, 0.0000], [0.0000, 0.0000, 0.0000], [0.5000, 0.0000, 0.6444], [0.0000, 0.5000, 0.3556], [0.0000, 0.0000, 0.5000], [0.5000, 0.0000, 0.8702], [0.0000, 0.5000, 0.1298]],
  "space_group": "No. 115"
}



{
  "formula": "Sm2TmAl3Pt4",
  "functional": "PBE",
  "state": "optimized geometry",
  "cell": [[-0.3885, -2.0191, -3.8220], [-3.3164, -2.3220, 1.5638], [-6.9170, 7.6361, -3.3310]],
  "species": ["Sm", "Sm", "Tm", "Al", "Al", "Al", "Pt", "Pt", "Pt", "Pt"],
  "frac_coords": [[0.5000, 0.0000, 0.2294], [0.0000, 0.5000, 0.7706], [0.5000, 0.5000, 0.5000], [0.0000, 0.0000, 0.5000], [0.5000, 0.0000, 0.8814], [0.0000, 0.5000, 0.1186], [0.5000, 0.5000, 0.0000], [0.0000, 0.0000, 0.0000], [0.5000, 0.0000, 0.6526], [0.0000, 0.5000, 0.3474]],
  "space_group": "No. 115"
}



{
  "formula": "SmTmAlPt",
  "functional": "PBE",
  "state": "optimized geometry",
  "cell": [[-1.7953, -4.6198, -0.9812], [2.0372, -4.0343, 2.2588], [-2.6052, -2.5010, 3.5336]],
  "species": ["Tm", "Sm", "Pt", "Al"],
  "frac_coords": [[0.2500, 0.2500, 0.2500], [0.7500, 0.7500, 0.7500], [0.0000, 0.0000, 0.0000], [0.5000, 0.5000, 0.5000]],
  "space_group": "No. 216"
}



{
  "formula": "SmYAlPt",
  "functional": "PBE",
  "state": "optimized geometry",
  "cell": [[-2.1296, 4.1897, 1.9584], [-1.2257, 0.1620, 4.9391], [2.6546, 2.9537, 3.1862]],
  "species": ["Y", "Sm", "Pt", "Al"],
  "frac_coords": [[0.7500, 0.7500, 0.7500], [0.2500, 0.2500, 0.2500], [0.5000, 0.5000, 0.5000], [0.0000, 0.0000, 0.0000]],
  "space_group": "No. 216"
}



{
  "formula": "SmAlZnPt3",
  "functional": "PBE",
  "state": "optimized geometry",
  "cell": [[5.6925, 0.0000, 0.0000], [0.0000, 6.8520, 0.0000], [0.0000, -3.4260, 5.9677]],
  "species": ["Sm", "Sm", "Al", "Al", "Zn", "Zn", "Pt", "Pt", "Pt", "Pt", "Pt", "Pt"],
  "frac_coords": [[0.7500, 0.2947, 0.5895], [0.2500, 0.7053, 0.4105], [0.2500, 0.3753, 0.7506], [0.7500, 0.6247, 0.2494], [0.2500, 0.9550, 0.9100], [0.7500, 0.0450, 0.0900], [0.2500, 0.1759, 0.3519], [0.0000, 0.2926, 0.0000], [0.5000, 0.7074, 0.0000], [0.5000, 0.2926, 0.0000], [0.0000, 0.7074, 0.0000], [0.7500, 0.8241, 0.6481]],
  "space_group": "No. 63"
}



{
  "formula": "Sm2AlZn2Pt5",
  "functional": "PBE",
  "state": "optimized geometry",
  "cell": [[3.7283, 0.0000, 0.0000], [0.0000, 9.7919, 0.0000], [0.0000, 0.0000, 9.7919]],
  "species": ["Sm", "Sm", "Sm", "Sm", "Al", "Al", "Zn", "Zn", "Zn", "Zn", "Pt", "Pt", "Pt", "Pt", "Pt", "Pt", "Pt", "Pt", "Pt", "Pt"],
  "frac_coords": [[0.0000, 0.6756, 0.1756], [0.0000, 0.3244, 0.8244], [0.0000, 0.1756, 0.3244], [0.0000, 0.8244, 0.6756], [0.0000, 0.0000, 0.0000], [0.0000, 0.5000, 0.5000], [0.0000, 0.1233, 0.6233], [0.0000, 0.8767, 0.3767], [0.0000, 0.6233, 0.8767], [0.0000, 0.3767, 0.1233], [0.5000, 0.2002, 0.0600], [0.5000, 0.7998, 0.9400], [0.5000, 0.0600, 0.7998], [0.5000, 0.7002, 0.4400], [0.5000, 0.9400, 0.2002], [0.5000, 0.2998, 0.5600], [0.5000, 0.5600, 0.7002], [0.5000, 0.4400, 0.2998], [0.5000, 0.5000, 0.0000], [0.5000, 0.0000, 0.5000]],
  "space_group": "No. 127"
}



{
  "formula": "Sm2Al2ZnPt5",
  "functional": "PBE",
  "state": "optimized geometry",
  "cell": [[3.3596, 0.0000, 0.0000], [0.0000, 10.3729, 0.0000], [0.0000, 0.0000, 10.3729]],
  "species": ["Sm", "Sm", "Sm", "Sm", "Al", "Al", "Al", "Al", "Zn", "Zn", "Pt", "Pt", "Pt", "Pt", "Pt", "Pt", "Pt", "Pt", "Pt", "Pt"],
  "frac_coords": [[0.0000, 0.6757, 0.1757], [0.0000, 0.3243, 0.8243], [0.0000, 0.1757, 0.3243], [0.0000, 0.8243, 0.6757], [0.0000, 0.1273, 0.6273], [0.0000, 0.8727, 0.3727], [0.0000, 0.6273, 0.8727], [0.0000, 0.3727, 0.1273], [0.0000, 0.0000, 0.0000], [0.0000, 0.5000, 0.5000], [0.5000, 0.1998, 0.0544], [0.5000, 0.8002, 0.9456], [0.5000, 0.0544, 0.8002], [0.5000, 0.6998, 0.4456], [0.5000, 0.9456, 0.1998], [0.5000, 0.3002, 0.5544], [0.5000, 0.5544, 0.6998], [0.5000, 0.4456, 0.3002], [0.5000, 0.5000, 0.0000], [0.5000, 0.0000, 0.5000]],
  "space_group": "No. 127"
}



{
  "formula": "Sm3AlZn2Pt9",
  "functional": "PBE",
  "state": "optimized geometry",
  "cell": [[7.4723, 0.0000, 0.0000], [-3.7362, 6.4712, 0.0000], [0.0000, 0.0000, 6.3268]],
  "species": ["Sm", "Sm", "Sm", "Al", "Zn", "Zn", "Pt", "Pt", "Pt", "Pt", "Pt", "Pt", "Pt", "Pt", "Pt"],
  "frac_coords": [[0.3333, 0.6667, 0.6705], [0.0000, 0.0000, 0.0000], [0.6667, 0.3333, 0.3295], [0.0000, 0.0000, 0.5000], [0.3333, 0.6667, 0.1697], [0.6667, 0.3333, 0.8303], [0.8354, 0.1646, 0.6663], [0.8354, 0.6708, 0.6663], [0.3292, 0.1646, 0.6663], [0.6708, 0.8354, 0.3337], [0.1646, 0.3292, 0.3337], [0.1646, 0.8354, 0.3337], [0.5000, 0.0000, 0.0000], [0.0000, 0.5000, 0.0000], [0.5000, 0.5000, 0.0000]],
  "space_group": "No. 164"
}



{
  "formula": "Sm2Al4Zn3Pt",
  "functional": "PBE",
  "state": "optimized geometry",
  "cell": [[-3.2348, -2.6815, -0.1941], [2.6797, -3.1913, -0.5720], [0.5557, -1.4408, 10.6421]],
  "species": ["Sm", "Sm", "Al", "Al", "Al", "Al", "Zn", "Zn", "Zn", "Pt"],
  "frac_coords": [[0.5000, 0.0000, 0.2514], [0.0000, 0.5000, 0.7486], [0.5000, 0.5000, 0.0000], [0.0000, 0.0000, 0.0000], [0.5000, 0.0000, 0.6293], [0.0000, 0.5000, 0.3707], [0.0000, 0.0000, 0.5000], [0.5000, 0.0000, 0.8603], [0.0000, 0.5000, 0.1397], [0.5000, 0.5000, 0.5000]],
  "space_group": "No. 115"
}



{
  "formula": "SmAlZn2Pt",
  "functional": "PBE",
  "state": "optimized geometry",
  "cell": [[-1.6162, -3.5347, 0.2284], [3.7253, -1.6191, 1.3042], [-2.5194, 3.5991, 4.6871]],
  "species": ["Sm", "Al", "Zn", "Zn", "Pt"],
  "frac_coords": [[0.4410, 0.4410, 0.8820], [0.1902, 0.6902, 0.3804], [0.6977, 0.1977, 0.3954], [0.0528, 0.0528, 0.1056], [0.8304, 0.8304, 0.6609]],
  "space_group": "No. 44"
}



Number 1: calculated formation energy -0.679 eV per atom. Number 2: calculated formation energy -0.881 eV per atom. Number 3: calculated formation energy -0.927 eV per atom. Number 4: calculated formation energy -1.079 eV per atom. Number 5: calculated formation energy -0.706 eV per atom. Number 6: calculated formation energy -0.692 eV per atom. Number 7: calculated formation energy -0.716 eV per atom. Number 8: calculated formation energy -0.861 eV per atom. Number 9: calculated formation energy -0.882 eV per atom. Number 10: calculated formation energy -0.509 eV per atom. Number 11: calculated formation energy -0.568 eV per atom. Number 12: calculated formation energy -0.659 eV per atom.